#w
VASP calculation (PBE) on crystalline CaPd3Pb2 at its relaxed geometry.

Summary:
- DOS(E_F) (states/eV/cell) = 14.32
- spin magnetization (μB per cell) = 0.00
- V (Å³/atom) = 22.69

```
data_CaPd3Pb2
_space_group_name_H-M_alt 'I m m a'
_space_group_IT_number 74
_space_group_name_Hall '-I 2b 2'
_cell_length_a 8.816
_cell_length_b 10.354
_cell_length_c 5.966
_cell_angle_alpha 90.00
_cell_angle_beta 90.00
_cell_angle_gamma 90.00
loop_
_atom_site_label
_atom_site_fract_x
_atom_site_fract_y
_atom_site_fract_z
Ca1 0.000 0.250 0.246
Pd1 0.248 0.000 0.000
Pd2 0.250 0.250 0.750
Pb1 0.000 0.084 0.747
```

#x
VASP calculation (PBE) on crystalline CaPd3Pb2 at its relaxed geometry.

Summary:
- DOS(E_F) (states/eV/cell) = 5.36
- spin magnetization (μB per cell) = 0.00
- V (Å³/atom) = 20.86

```
data_CaPd3Pb2
_space_group_name_H-M_alt 'P 1 2/m 1'
_space_group_IT_number 10
_cell_length_a 5.015
_cell_length_b 6.784
_cell_length_c 7.768
_cell_angle_alpha 90.00
_cell_angle_beta 108.65
_cell_angle_gamma 90.00
loop_
_space_group_symop_operation_xyz
'x,y,z'
'-x,-y,-z'
'-x,y,-z'
'x,-y,z'
loop_
_atom_site_label
_atom_site_fract_x
_atom_site_fract_y
_atom_site_fract_z
Ca1 0.165 0.000 0.324
Pd1 0.000 0.267 0.000
Pd2 0.329 0.247 0.672
Pb1 0.175 0.500 0.343
Pb2 0.500 0.000 0.000
Pb3 0.500 0.500 0.000
```

Which of them is the least stable? Correct choice: #w.

#w
VASP calculation (PBE) on crystalline CaPd3Pb at its relaxed geometry.

Summary:
- DOS(E_F) (states/eV/cell) = 1.71
- spin magnetization (μB per cell) = 0.00
- V (Å³/atom) = 26.40

```
data_CaPd3Pb
_space_group_name_H-M_alt 'P m -3 m'
_space_group_IT_number 221
_space_group_name_Hall '-P 4 2 3'
_cell_length_a 5.092
_cell_length_b 5.092
_cell_length_c 5.092
_cell_angle_alpha 90.00
_cell_angle_beta 90.00
_cell_angle_gamma 90.00
loop_
_atom_site_label
_atom_site_fract_x
_atom_site_fract_y
_atom_site_fract_z
Ca1 0.000 0.000 0.000
Pd1 0.000 0.500 0.500
Pb1 0.500 0.500 0.500
```

#x
VASP calculation (PBE) on crystalline CaPd3Pb at its relaxed geometry.

Summary:
- DOS(E_F) (states/eV/cell) = 10.76
- spin magnetization (μB per cell) = 0.00
- V (Å³/atom) = 20.71

```
data_CaPd3Pb
_space_group_name_H-M_alt 'I m m a'
_space_group_IT_number 74
_space_group_name_Hall '-I 2b 2'
_cell_length_a 5.649
_cell_length_b 7.771
_cell_length_c 9.437
_cell_angle_alpha 90.00
_cell_angle_beta 90.00
_cell_angle_gamma 90.00
loop_
_atom_site_label
_atom_site_fract_x
_atom_site_fract_y
_atom_site_fract_z
Ca1 0.000 0.250 0.004
Pd1 0.000 0.250 0.705
Pd2 0.250 0.065 0.250
Pb1 0.000 0.000 0.500
```

Which of them is the least stable? Correct choice: #w.

#w
VASP calculation (PBE) on crystalline Ca2PdPb2 at its relaxed geometry.

Summary:
- DOS(E_F) (states/eV/cell) = 10.36
- spin magnetization (μB per cell) = 0.00
- V (Å³/atom) = 27.61

```
data_Ca2PdPb2
_space_group_name_H-M_alt 'C 1 2/m 1'
_space_group_IT_number 12
_cell_length_a 11.405
_cell_length_b 4.687
_cell_length_c 11.461
_cell_angle_alpha 90.00
_cell_angle_beta 115.67
_cell_angle_gamma 90.00
loop_
_space_group_symop_operation_xyz
'x,y,z'
'-x,-y,-z'
'-x,y,-z'
'x,-y,z'
'x+1/2,y+1/2,z'
'-x+1/2,-y+1/2,-z'
'-x+1/2,y+1/2,-z'
'x+1/2,-y+1/2,z'
loop_
_atom_site_label
_atom_site_fract_x
_atom_site_fract_y
_atom_site_fract_z
Ca1 0.004 0.000 0.331
Ca2 0.181 0.000 0.116
Pd1 0.215 0.500 0.332
Pb1 0.032 0.500 0.883
Pb2 0.156 0.500 0.557
```

#x
VASP calculation (PBE) on crystalline Ca2PdPb2 at its relaxed geometry.

Summary:
- DOS(E_F) (states/eV/cell) = 3.36
- spin magnetization (μB per cell) = 0.00
- V (Å³/atom) = 27.51

```
data_Ca2PdPb2
_space_group_name_H-M_alt 'P 4/m b m'
_space_group_IT_number 127
_space_group_name_Hall '-P 4 2ab'
_cell_length_a 7.475
_cell_length_b 7.475
_cell_length_c 4.923
_cell_angle_alpha 90.00
_cell_angle_beta 90.00
_cell_angle_gamma 90.00
loop_
_atom_site_label
_atom_site_fract_x
_atom_site_fract_y
_atom_site_fract_z
Ca1 0.165 0.335 0.000
Pd1 0.000 0.000 0.500
Pb1 0.147 0.647 0.500
```

#y
VASP calculation (PBE) on crystalline Ca2PdPb2 at its relaxed geometry.

Summary:
- DOS(E_F) (states/eV/cell) = 3.19
- spin magnetization (μB per cell) = 0.00
- V (Å³/atom) = 29.17

```
data_Ca2PdPb2
_space_group_name_H-M_alt 'P 4/m b m'
_space_group_IT_number 127
_space_group_name_Hall '-P 4 2ab'
_cell_length_a 7.538
_cell_length_b 7.538
_cell_length_c 5.134
_cell_angle_alpha 90.00
_cell_angle_beta 90.00
_cell_angle_gamma 90.00
loop_
_atom_site_label
_atom_site_fract_x
_atom_site_fract_y
_atom_site_fract_z
Ca1 0.161 0.339 0.000
Pd1 0.000 0.000 0.000
Pb1 0.155 0.655 0.500
```

Which of them is the least stable? Correct choice: #y.

#w
VASP calculation (PBE) on crystalline Ca2Pd6Pb at its relaxed geometry.

Summary:
- DOS(E_F) (states/eV/cell) = 6.83
- spin magnetization (μB per cell) = 0.00
- V (Å³/atom) = 20.11

```
data_Ca2Pd6Pb
_space_group_name_H-M_alt 'C 1 2/m 1'
_space_group_IT_number 12
_cell_length_a 9.951
_cell_length_b 5.776
_cell_length_c 6.492
_cell_angle_alpha 90.00
_cell_angle_beta 104.06
_cell_angle_gamma 90.00
loop_
_space_group_symop_operation_xyz
'x,y,z'
'-x,-y,-z'
'-x,y,-z'
'x,-y,z'
'x+1/2,y+1/2,z'
'-x+1/2,-y+1/2,-z'
'-x+1/2,y+1/2,-z'
'x+1/2,-y+1/2,z'
loop_
_atom_site_label
_atom_site_fract_x
_atom_site_fract_y
_atom_site_fract_z
Ca1 0.141 0.000 0.326
Pd1 0.119 0.500 0.174
Pd2 0.138 0.236 0.828
Pb1 0.000 0.500 0.500
```

#x
VASP calculation (PBE) on crystalline Ca2Pd6Pb at its relaxed geometry.

Summary:
- DOS(E_F) (states/eV/cell) = 8.82
- spin magnetization (μB per cell) = 0.00
- V (Å³/atom) = 20.42

```
data_Ca2Pd6Pb
_space_group_name_H-M_alt 'I m m m'
_space_group_IT_number 71
_space_group_name_Hall '-I 2 2'
_cell_length_a 4.514
_cell_length_b 8.602
_cell_length_c 9.467
_cell_angle_alpha 90.00
_cell_angle_beta 90.00
_cell_angle_gamma 90.00
loop_
_atom_site_label
_atom_site_fract_x
_atom_site_fract_y
_atom_site_fract_z
Ca1 0.000 0.000 0.167
Pd1 0.000 0.275 0.338
Pd2 0.000 0.301 0.000
Pb1 0.000 0.000 0.500
```

Which of them is the least stable? Correct choice: #x.

#w
VASP calculation (PBE) on crystalline Ca2PmPb at its relaxed geometry.

Summary:
- DOS(E_F) (states/eV/cell) = 19.37
- spin magnetization (μB per cell) = 0.00
- V (Å³/atom) = 33.01

```
data_Ca2PmPb
_space_group_name_H-M_alt 'F m -3 m'
_space_group_IT_number 225
_space_group_name_Hall '-F 4 2 3'
_cell_length_a 8.083
_cell_length_b 8.083
_cell_length_c 8.083
_cell_angle_alpha 90.00
_cell_angle_beta 90.00
_cell_angle_gamma 90.00
loop_
_atom_site_label
_atom_site_fract_x
_atom_site_fract_y
_atom_site_fract_z
Ca1 0.250 0.250 0.250
Pm1 0.000 0.000 0.000
Pb1 0.000 0.000 0.500
```

#x
VASP calculation (PBE) on crystalline Ca2PmPb at its relaxed geometry.

Summary:
- DOS(E_F) (states/eV/cell) = 3.40
- spin magnetization (μB per cell) = 0.00
- V (Å³/atom) = 32.16

```
data_Ca2PmPb
_space_group_name_H-M_alt 'P 4/m m m'
_space_group_IT_number 123
_space_group_name_Hall '-P 4 2'
_cell_length_a 4.961
_cell_length_b 4.961
_cell_length_c 5.226
_cell_angle_alpha 90.00
_cell_angle_beta 90.00
_cell_angle_gamma 90.00
loop_
_atom_site_label
_atom_site_fract_x
_atom_site_fract_y
_atom_site_fract_z
Ca1 0.000 0.500 0.000
Pm1 0.000 0.000 0.500
Pb1 0.500 0.500 0.500
```

#y
VASP calculation (PBE) on crystalline Ca2PmPb at its relaxed geometry.

Summary:
- DOS(E_F) (states/eV/cell) = 3.81
- spin magnetization (μB per cell) = 0.00
- V (Å³/atom) = 33.89

```
data_Ca2PmPb
_space_group_name_H-M_alt 'P 4/m m m'
_space_group_IT_number 123
_space_group_name_Hall '-P 4 2'
_cell_length_a 3.696
_cell_length_b 3.696
_cell_length_c 9.920
_cell_angle_alpha 90.00
_cell_angle_beta 90.00
_cell_angle_gamma 90.00
loop_
_atom_site_label
_atom_site_fract_x
_atom_site_fract_y
_atom_site_fract_z
Ca1 0.000 0.000 0.214
Pm1 0.500 0.500 0.500
Pb1 0.500 0.500 0.000
```

Which of them is the least stable? Correct choice: #w.

#w
VASP calculation (PBE) on crystalline CaPm2Pb2 at its relaxed geometry.

Summary:
- DOS(E_F) (states/eV/cell) = 10.14
- spin magnetization (μB per cell) = 0.00
- V (Å³/atom) = 34.61

```
data_CaPm2Pb2
_space_group_name_H-M_alt 'C 1 2/m 1'
_space_group_IT_number 12
_cell_length_a 7.821
_cell_length_b 6.621
_cell_length_c 7.210
_cell_angle_alpha 90.00
_cell_angle_beta 112.03
_cell_angle_gamma 90.00
loop_
_space_group_symop_operation_xyz
'x,y,z'
'-x,-y,-z'
'-x,y,-z'
'x,-y,z'
'x+1/2,y+1/2,z'
'-x+1/2,-y+1/2,-z'
'-x+1/2,y+1/2,-z'
'x+1/2,-y+1/2,z'
loop_
_atom_site_label
_atom_site_fract_x
_atom_site_fract_y
_atom_site_fract_z
Ca1 0.000 0.000 0.000
Pm1 0.000 0.253 0.500
Pb1 0.161 0.500 0.198
```

#x
VASP calculation (PBE) on crystalline CaPm2Pb2 at its relaxed geometry.

Summary:
- DOS(E_F) (states/eV/cell) = 5.45
- spin magnetization (μB per cell) = 0.00
- V (Å³/atom) = 31.73

```
data_CaPm2Pb2
_space_group_name_H-M_alt 'P 4/m b m'
_space_group_IT_number 127
_space_group_name_Hall '-P 4 2ab'
_cell_length_a 8.283
_cell_length_b 8.283
_cell_length_c 4.625
_cell_angle_alpha 90.00
_cell_angle_beta 90.00
_cell_angle_gamma 90.00
loop_
_atom_site_label
_atom_site_fract_x
_atom_site_fract_y
_atom_site_fract_z
Ca1 0.000 0.000 0.000
Pm1 0.173 0.327 0.500
Pb1 0.130 0.630 0.000
```

Which of them is the least stable? Correct choice: #w.

#w
VASP calculation (PBE) on crystalline CaPm2Pb at its relaxed geometry.

Summary:
- DOS(E_F) (states/eV/cell) = 3.73
- spin magnetization (μB per cell) = 0.00
- V (Å³/atom) = 31.24

```
data_CaPm2Pb
_space_group_name_H-M_alt 'P 4/m m m'
_space_group_IT_number 123
_space_group_name_Hall '-P 4 2'
_cell_length_a 5.006
_cell_length_b 5.006
_cell_length_c 4.986
_cell_angle_alpha 90.00
_cell_angle_beta 90.00
_cell_angle_gamma 90.00
loop_
_atom_site_label
_atom_site_fract_x
_atom_site_fract_y
_atom_site_fract_z
Ca1 0.000 0.000 0.000
Pm1 0.000 0.500 0.500
Pb1 0.500 0.500 0.000
```

#x
VASP calculation (PBE) on crystalline CaPm2Pb at its relaxed geometry.

Summary:
- DOS(E_F) (states/eV/cell) = 5.62
- spin magnetization (μB per cell) = 0.00
- V (Å³/atom) = 32.23

```
data_CaPm2Pb
_space_group_name_H-M_alt 'P 4/m m m'
_space_group_IT_number 123
_space_group_name_Hall '-P 4 2'
_cell_length_a 4.308
_cell_length_b 4.308
_cell_length_c 6.946
_cell_angle_alpha 90.00
_cell_angle_beta 90.00
_cell_angle_gamma 90.00
loop_
_atom_site_label
_atom_site_fract_x
_atom_site_fract_y
_atom_site_fract_z
Ca1 0.000 0.000 0.000
Pm1 0.500 0.500 0.275
Pb1 0.000 0.000 0.500
```

Which of them is the least stable? Correct choice: #x.

#w
VASP calculation (PBE) on crystalline CaPr2Pb at its relaxed geometry.

Summary:
- DOS(E_F) (states/eV/cell) = 17.04
- spin magnetization (μB per cell) = 0.00
- V (Å³/atom) = 35.58

```
data_CaPr2Pb
_space_group_name_H-M_alt 'R -3 m'
_space_group_IT_number 166
_space_group_name_Hall '-R 3 2"'
_cell_length_a 3.6117
_cell_length_b 3.6117
_cell_length_c 37.7954
_cell_angle_alpha 90.00
_cell_angle_beta 90.00
_cell_angle_gamma 120.00
loop_
_atom_site_label
_atom_site_fract_x
_atom_site_fract_y
_atom_site_fract_z
Ca1 0.0000 0.0000 0.0000
Pr1 0.0000 0.0000 0.0937
Pb1 0.0000 0.0000 0.5000
```

#x
VASP calculation (PBE) on crystalline CaPr2Pb at its relaxed geometry.

Summary:
- DOS(E_F) (states/eV/cell) = 3.88
- spin magnetization (μB per cell) = 0.00
- V (Å³/atom) = 32.26

```
data_CaPr2Pb
_space_group_name_H-M_alt 'P 4/m m m'
_space_group_IT_number 123
_space_group_name_Hall '-P 4 2'
_cell_length_a 5.060
_cell_length_b 5.060
_cell_length_c 5.041
_cell_angle_alpha 90.00
_cell_angle_beta 90.00
_cell_angle_gamma 90.00
loop_
_atom_site_label
_atom_site_fract_x
_atom_site_fract_y
_atom_site_fract_z
Ca1 0.000 0.000 0.000
Pr1 0.000 0.500 0.500
Pb1 0.500 0.500 0.000
```

#y
VASP calculation (PBE) on crystalline CaPr2Pb at its relaxed geometry.

Summary:
- DOS(E_F) (states/eV/cell) = 5.49
- spin magnetization (μB per cell) = 0.00
- V (Å³/atom) = 33.33

```
data_CaPr2Pb
_space_group_name_H-M_alt 'P 4/m m m'
_space_group_IT_number 123
_space_group_name_Hall '-P 4 2'
_cell_length_a 4.360
_cell_length_b 4.360
_cell_length_c 7.015
_cell_angle_alpha 90.00
_cell_angle_beta 90.00
_cell_angle_gamma 90.00
loop_
_atom_site_label
_atom_site_fract_x
_atom_site_fract_y
_atom_site_fract_z
Ca1 0.000 0.000 0.000
Pr1 0.500 0.500 0.275
Pb1 0.000 0.000 0.500
```

#z
VASP calculation (PBE) on crystalline CaPr2Pb at its relaxed geometry.

Summary:
- DOS(E_F) (states/eV/cell) = 20.54
- spin magnetization (μB per cell) = 0.01
- V (Å³/atom) = 32.61

```
data_CaPr2Pb
_space_group_name_H-M_alt 'F m -3 m'
_space_group_IT_number 225
_space_group_name_Hall '-F 4 2 3'
_cell_length_a 8.050
_cell_length_b 8.050
_cell_length_c 8.050
_cell_angle_alpha 90.00
_cell_angle_beta 90.00
_cell_angle_gamma 90.00
loop_
_atom_site_label
_atom_site_fract_x
_atom_site_fract_y
_atom_site_fract_z
Ca1 0.000 0.000 0.000
Pr1 0.250 0.250 0.250
Pb1 0.000 0.000 0.500
```

Which of them is the least stable? Correct choice: #w.